No. 1
# Ac2Ga3AsPt4

Crystalline Ac2Ga3AsPt4 at its relaxed geometry (PBE, the Alexandria database).

Cell lengths 4.4997, 4.4997, 10.2735 Å; angles 90.00, 90.00, 90.00 degrees
Fractional coordinates of all 10 atoms:
Pt1 0.0000 0.5000 0.3726
Pt2 0.5000 0.0000 0.6274
Pt3 0.0000 0.0000 0.0000
Pt4 0.5000 0.5000 0.0000
Ac1 0.5000 0.0000 0.2517
Ac2 0.0000 0.5000 0.7483
As1 0.5000 0.5000 0.5000
Ga1 0.0000 0.0000 0.5000
Ga2 0.0000 0.5000 0.1237
Ga3 0.5000 0.0000 0.8763

Summary:
The energy of formation from the pure elements comes out at -931 kJ/mol of formula units. As for the calculated volume: 20.80 Å³ per atom.

No. 2
# Ac2GaAs3Pt4

Crystalline Ac2GaAs3Pt4 at its relaxed geometry (PBE, the Alexandria database).

Cell lengths 4.4752, 4.4752, 10.3837 Å; angles 90.00, 90.00, 90.00 degrees
Fractional coordinates of all 10 atoms:
As1 0.0000 0.5000 0.1317
As2 0.0000 0.0000 0.5000
As3 0.5000 0.0000 0.8683
Ac1 0.0000 0.5000 0.7551
Ac2 0.5000 0.0000 0.2449
Pt1 0.0000 0.0000 0.0000
Pt2 0.5000 0.0000 0.6239
Pt3 0.5000 0.5000 0.0000
Pt4 0.0000 0.5000 0.3761
Ga1 0.5000 0.5000 0.5000

Summary:
The energy of formation from the pure elements comes out at -910 kJ/mol of formula units. As for the calculated volume: 20.80 Å³ per atom.

No. 3
# Ac2GaAsRh6

Crystalline Ac2GaAsRh6 at its relaxed geometry (PBE, the Alexandria database).

Cell lengths 6.5073, 6.6358, 6.6084 Å; angles 78.26, 50.73, 98.43 degrees
Fractional coordinates of all 10 atoms:
Ac1 0.2459 0.7944 0.4729
Ac2 0.7541 0.2056 0.5271
Rh1 0.2675 0.7616 0.0079
Rh2 0.7929 0.5869 0.1224
Rh3 0.2628 0.2789 0.4975
Rh4 0.7372 0.7211 0.5025
Rh5 0.2070 0.4131 0.8776
Rh6 0.7325 0.2384 0.9921
Ga1 0.0000 0.0000 0.0000
As1 0.5000 0.5000 0.0000

Summary:
The energy of formation from the pure elements comes out at -553 kJ/mol of formula units. As for the calculated volume: 20.15 Å³ per atom.